Entry 1:
DFT (GGA-PBE) results for a geometry-optimized Mn2MoIr structure.

The structure in POSCAR format:
```
Mn2MoIr
1.0
-1.3205 -2.1426 2.7182
2.4416 -2.6387 -0.8938
6.4413 1.1404 6.5523
Mo Ir Mn
2 2 4
direct
0.5000 0.5000 0.0000
0.2500 0.7500 0.5000
0.0000 0.0000 0.0000
0.7500 0.2500 0.5000
0.6284 0.1250 0.2500
0.1216 0.6250 0.2500
0.3750 0.3716 0.7500
0.8750 0.8784 0.7500
```

Calculated values
Symmetry   I-42d
VASP energy   -71.6 eV for the cell shown
Fermi-level density of states   10.94 states/eV per cell


Entry 2:
DFT (GGA-PBE) results for a geometry-optimized Cu2POs structure.

The structure in POSCAR format:
```
Cu2POs
1.0
3.0329 0.0000 0.0000
0.0000 3.0329 0.0000
0.0000 0.0000 5.5260
Cu Os P
2 1 1
direct
0.0000 0.0000 0.0116
0.5000 0.5000 0.2261
0.0000 0.0000 0.5270
0.5000 0.5000 0.7354
```

Calculated values
Symmetry   P4mm
VASP energy   -24.7 eV for the cell shown
Fermi-level density of states   1.36 states/eV per cell